1.
The following is a PBE-GGA calculation of crystalline Ca2PrSc at its relaxed geometry, from Alexandria via LeMat-Bulk.

Cell and atoms, written as CIF:
```
data_Ca2PrSc
_space_group_name_H-M_alt 'P 4/m m m'
_space_group_IT_number 123
_space_group_name_Hall '-P 4 2'
_cell_length_a 4.072
_cell_length_b 4.072
_cell_length_c 8.361
_cell_angle_alpha 90.00
_cell_angle_beta 90.00
_cell_angle_gamma 90.00
loop_
_atom_site_label
_atom_site_fract_x
_atom_site_fract_y
_atom_site_fract_z
Ca1 0.000 0.000 0.230
Pr1 0.500 0.500 0.500
Sc1 0.500 0.500 0.000
```

***

2.
The following is a PBE-GGA calculation of crystalline FeCo2As8 at its relaxed geometry, from Alexandria via LeMat-Bulk.

Cell and atoms, written as CIF:
```
data_FeCo2As8
_space_group_name_H-M_alt 'C 1 2/m 1'
_space_group_IT_number 12
_cell_length_a 12.824
_cell_length_b 7.411
_cell_length_c 4.410
_cell_angle_alpha 90.00
_cell_angle_beta 90.12
_cell_angle_gamma 90.00
loop_
_space_group_symop_operation_xyz
'x,y,z'
'-x,-y,-z'
'-x,y,-z'
'x,-y,z'
'x+1/2,y+1/2,z'
'-x+1/2,-y+1/2,-z'
'-x+1/2,y+1/2,-z'
'x+1/2,-y+1/2,z'
loop_
_atom_site_label
_atom_site_fract_x
_atom_site_fract_y
_atom_site_fract_z
Fe1 0.000 0.000 0.000
Co1 0.167 0.500 0.723
As1 0.076 0.226 0.688
As2 0.151 0.000 0.312
As3 0.166 0.500 0.215
```

***

| no. | total moment (μB/f.u.) | ΔH_f (0 K) (eV/atom) |
| --- | --- | --- |
| 1 | 0.000 | 0.206 |
| 2 | 0.000 | 0.093 |